Entry 1:
Compound: Ca2CuRe
Source: Alexandria
Functional: PBE
Structure: optimized geometry

Structure (CIF):
```
data_Ca2CuRe
_chemical_formula_sum 'Ca2 Cu1 Re1'
_cell_length_a 4.895
_cell_length_b 4.895
_cell_length_c 4.895
_cell_angle_alpha 60.00
_cell_angle_beta 60.00
_cell_angle_gamma 60.00
_symmetry_space_group_name_H-M 'P 1'
_symmetry_Int_Tables_number 1
_symmetry_space_group_name_Hall 'P 1'
loop_
_atom_site_label
_atom_site_type_symbol
_atom_site_fract_x
_atom_site_fract_y
_atom_site_fract_z
Cu1 Cu 0.500 0.500 0.500
Re1 Re 0.750 0.750 0.750
Ca1 Ca 0.250 0.250 0.250
Ca2 Ca 0.000 0.000 0.000
```

Computed properties:
**Size of the total moment**: 0.4333 μB per atom
**Raw total energy**: -17.335 eV/f.u.
**E_form**: 803 meV/atom



Entry 2:
Compound: Ca2CuRe
Source: Alexandria
Functional: PBE
Structure: optimized geometry

Structure (CIF):
```
data_Ca2CuRe
_chemical_formula_sum 'Ca2 Cu1 Re1'
_cell_length_a 6.230
_cell_length_b 6.230
_cell_length_c 6.230
_cell_angle_alpha 151.64
_cell_angle_beta 131.05
_cell_angle_gamma 57.54
_symmetry_space_group_name_H-M 'P 1'
_symmetry_Int_Tables_number 1
_symmetry_space_group_name_Hall 'P 1'
loop_
_atom_site_label
_atom_site_type_symbol
_atom_site_fract_x
_atom_site_fract_y
_atom_site_fract_z
Re1 Re 0.287 0.787 0.500
Ca1 Ca 0.721 0.221 0.500
Ca2 Ca 0.022 0.022 0.000
Cu1 Cu 0.470 0.470 0.000
```

Computed properties:
**Size of the total moment**: 0.0001 μB per atom
**Raw total energy**: -18.551 eV/f.u.
**E_form**: 499 meV/atom



Entry 3:
Compound: CaCu2Re
Source: Alexandria
Functional: PBE
Structure: optimized geometry

Structure (CIF):
```
data_CaCu2Re
_chemical_formula_sum 'Ca2 Cu4 Re2'
_cell_length_a 4.555
_cell_length_b 4.555
_cell_length_c 9.124
_cell_angle_alpha 75.55
_cell_angle_beta 75.55
_cell_angle_gamma 90.00
_symmetry_space_group_name_H-M 'P 1'
_symmetry_Int_Tables_number 1
_symmetry_space_group_name_Hall 'P 1'
loop_
_atom_site_label
_atom_site_type_symbol
_atom_site_fract_x
_atom_site_fract_y
_atom_site_fract_z
Cu1 Cu 0.375 0.204 0.750
Cu2 Cu 0.954 0.625 0.250
Cu3 Cu 0.796 0.125 0.250
Cu4 Cu 0.875 0.046 0.750
Re1 Re 0.750 0.250 0.500
Re2 Re 0.000 0.000 0.000
Ca1 Ca 0.250 0.750 0.500
Ca2 Ca 0.500 0.500 0.000
```

Computed properties:
**Size of the total moment**: 0.5298 μB per atom
**Raw total energy**: -18.867 eV/f.u.
**E_form**: 944 meV/atom



Entry 4:
Compound: Ca2CuRe
Source: Alexandria
Functional: PBE
Structure: optimized geometry

Structure (CIF):
```
data_Ca2CuRe
_chemical_formula_sum 'Ca2 Cu1 Re1'
_cell_length_a 5.382
_cell_length_b 5.382
_cell_length_c 5.382
_cell_angle_alpha 132.23
_cell_angle_beta 132.23
_cell_angle_gamma 69.86
_symmetry_space_group_name_H-M 'P 1'
_symmetry_Int_Tables_number 1
_symmetry_space_group_name_Hall 'P 1'
loop_
_atom_site_label
_atom_site_type_symbol
_atom_site_fract_x
_atom_site_fract_y
_atom_site_fract_z
Ca1 Ca 0.250 0.750 0.500
Ca2 Ca 0.000 0.000 0.000
Cu1 Cu 0.500 0.500 0.000
Re1 Re 0.750 0.250 0.500
```

Computed properties:
**Size of the total moment**: 0.3684 μB per atom
**Raw total energy**: -17.397 eV/f.u.
**E_form**: 788 meV/atom



Entry 5:
Compound: CaCu2Re
Source: Alexandria
Functional: PBE
Structure: optimized geometry

Structure (CIF):
```
data_CaCu2Re
_chemical_formula_sum 'Ca1 Cu2 Re1'
_cell_length_a 2.659
_cell_length_b 4.289
_cell_length_c 5.744
_cell_angle_alpha 90.00
_cell_angle_beta 90.00
_cell_angle_gamma 90.00
_symmetry_space_group_name_H-M 'P 1'
_symmetry_Int_Tables_number 1
_symmetry_space_group_name_Hall 'P 1'
loop_
_atom_site_label
_atom_site_type_symbol
_atom_site_fract_x
_atom_site_fract_y
_atom_site_fract_z
Ca1 Ca 0.500 0.500 0.763
Cu1 Cu 0.500 0.500 0.273
Cu2 Cu 0.000 0.000 0.016
Re1 Re 0.000 0.000 0.449
```

Computed properties:
**Size of the total moment**: 0.0000 μB per atom
**Raw total energy**: -20.446 eV/f.u.
**E_form**: 549 meV/atom



Entry 6:
Compound: CaCu4Re
Source: Alexandria
Functional: PBE
Structure: optimized geometry

Structure (CIF):
```
data_CaCu4Re
_chemical_formula_sum 'Ca1 Cu4 Re1'
_cell_length_a 4.991
_cell_length_b 4.991
_cell_length_c 4.991
_cell_angle_alpha 60.00
_cell_angle_beta 60.00
_cell_angle_gamma 60.00
_symmetry_space_group_name_H-M 'P 1'
_symmetry_Int_Tables_number 1
_symmetry_space_group_name_Hall 'P 1'
loop_
_atom_site_label
_atom_site_type_symbol
_atom_site_fract_x
_atom_site_fract_y
_atom_site_fract_z
Cu1 Cu 0.376 0.376 0.872
Cu2 Cu 0.872 0.376 0.376
Cu3 Cu 0.376 0.872 0.376
Cu4 Cu 0.376 0.376 0.376
Ca1 Ca 0.000 0.000 0.000
Re1 Re 0.750 0.750 0.750
```

Computed properties:
**Size of the total moment**: 0.1970 μB per atom
**Raw total energy**: -28.711 eV/f.u.
**E_form**: 354 meV/atom



Entry 7:
Compound: CaCuRe
Source: Alexandria
Functional: PBE
Structure: optimized geometry

Structure (CIF):
```
data_CaCuRe
_chemical_formula_sum 'Ca1 Cu1 Re1'
_cell_length_a 4.611
_cell_length_b 4.611
_cell_length_c 4.611
_cell_angle_alpha 60.00
_cell_angle_beta 60.00
_cell_angle_gamma 60.00
_symmetry_space_group_name_H-M 'P 1'
_symmetry_Int_Tables_number 1
_symmetry_space_group_name_Hall 'P 1'
loop_
_atom_site_label
_atom_site_type_symbol
_atom_site_fract_x
_atom_site_fract_y
_atom_site_fract_z
Re1 Re 0.500 0.500 0.500
Cu1 Cu 0.000 0.000 0.000
Ca1 Ca 0.750 0.750 0.750
```

Computed properties:
**Size of the total moment**: 1.0108 μB per atom
**Raw total energy**: -12.995 eV/f.u.
**E_form**: 1850 meV/atom



Entry 8:
Compound: CaCuRe
Source: Alexandria
Functional: PBE
Structure: optimized geometry

Structure (CIF):
```
data_CaCuRe
_chemical_formula_sum 'Ca1 Cu1 Re1'
_cell_length_a 4.786
_cell_length_b 4.786
_cell_length_c 2.648
_cell_angle_alpha 90.00
_cell_angle_beta 90.00
_cell_angle_gamma 120.00
_symmetry_space_group_name_H-M 'P 1'
_symmetry_Int_Tables_number 1
_symmetry_space_group_name_Hall 'P 1'
loop_
_atom_site_label
_atom_site_type_symbol
_atom_site_fract_x
_atom_site_fract_y
_atom_site_fract_z
Re1 Re 0.333 0.667 0.501
Ca1 Ca 0.000 0.000 0.000
Cu1 Cu 0.667 0.333 0.499
```

Computed properties:
**Size of the total moment**: 0.0000 μB per atom
**Raw total energy**: -16.416 eV/f.u.
**E_form**: 710 meV/atom



Entry 9:
Compound: Ca3CuRe
Source: Alexandria
Functional: PBE
Structure: optimized geometry

Structure (CIF):
```
data_Ca3CuRe
_chemical_formula_sum 'Ca3 Cu1 Re1'
_cell_length_a 5.327
_cell_length_b 5.327
_cell_length_c 5.327
_cell_angle_alpha 90.00
_cell_angle_beta 90.00
_cell_angle_gamma 90.00
_symmetry_space_group_name_H-M 'P 1'
_symmetry_Int_Tables_number 1
_symmetry_space_group_name_Hall 'P 1'
loop_
_atom_site_label
_atom_site_type_symbol
_atom_site_fract_x
_atom_site_fract_y
_atom_site_fract_z
Cu1 Cu 0.000 0.000 0.000
Ca1 Ca 0.000 0.000 0.500
Ca2 Ca 0.500 0.000 0.000
Ca3 Ca 0.000 0.500 0.000
Re1 Re 0.500 0.500 0.500
```

Computed properties:
**Size of the total moment**: 0.5964 μB per atom
**Raw total energy**: -17.589 eV/f.u.
**E_form**: 992 meV/atom



Entry 10:
Compound: CaCuRe
Source: Alexandria
Functional: PBE
Structure: optimized geometry

Structure (CIF):
```
data_CaCuRe
_chemical_formula_sum 'Ca1 Cu1 Re1'
_cell_length_a 5.861
_cell_length_b 5.861
_cell_length_c 5.861
_cell_angle_alpha 152.15
_cell_angle_beta 143.49
_cell_angle_gamma 46.54
_symmetry_space_group_name_H-M 'P 1'
_symmetry_Int_Tables_number 1
_symmetry_space_group_name_Hall 'P 1'
loop_
_atom_site_label
_atom_site_type_symbol
_atom_site_fract_x
_atom_site_fract_y
_atom_site_fract_z
Re1 Re 0.296 0.296 0.000
Cu1 Cu 0.702 0.702 0.000
Ca1 Ca 0.002 0.002 0.000
```

Computed properties:
**Size of the total moment**: 0.0000 μB per atom
**Raw total energy**: -16.831 eV/f.u.
**E_form**: 572 meV/atom



Entry 11:
Compound: Ca3CuRe
Source: Alexandria
Functional: PBE
Structure: optimized geometry

Structure (CIF):
```
data_Ca3CuRe
_chemical_formula_sum 'Ca3 Cu1 Re1'
_cell_length_a 5.461
_cell_length_b 5.461
_cell_length_c 5.461
_cell_angle_alpha 90.00
_cell_angle_beta 90.00
_cell_angle_gamma 90.00
_symmetry_space_group_name_H-M 'P 1'
_symmetry_Int_Tables_number 1
_symmetry_space_group_name_Hall 'P 1'
loop_
_atom_site_label
_atom_site_type_symbol
_atom_site_fract_x
_atom_site_fract_y
_atom_site_fract_z
Re1 Re 0.000 0.000 0.000
Ca1 Ca 0.000 0.000 0.500
Ca2 Ca 0.000 0.500 0.000
Ca3 Ca 0.500 0.000 0.000
Cu1 Cu 0.500 0.500 0.500
```

Computed properties:
**Size of the total moment**: 0.0000 μB per atom
**Raw total energy**: -17.986 eV/f.u.
**E_form**: 913 meV/atom



Entry 12:
Compound: CaCuRe
Source: Alexandria
Functional: PBE
Structure: optimized geometry

Structure (CIF):
```
data_CaCuRe
_chemical_formula_sum 'Ca2 Cu2 Re2'
_cell_length_a 5.344
_cell_length_b 4.018
_cell_length_c 6.037
_cell_angle_alpha 90.00
_cell_angle_beta 93.85
_cell_angle_gamma 90.00
_symmetry_space_group_name_H-M 'P 1'
_symmetry_Int_Tables_number 1
_symmetry_space_group_name_Hall 'P 1'
loop_
_atom_site_label
_atom_site_type_symbol
_atom_site_fract_x
_atom_site_fract_y
_atom_site_fract_z
Re1 Re 0.598 0.250 0.083
Re2 Re 0.402 0.750 0.917
Cu1 Cu 0.113 0.250 0.038
Cu2 Cu 0.887 0.750 0.962
Ca1 Ca 0.750 0.250 0.617
Ca2 Ca 0.250 0.750 0.383
```

Computed properties:
**Size of the total moment**: 0.0000 μB per atom
**Raw total energy**: -17.650 eV/f.u.
**E_form**: 299 meV/atom